Density functional theory data (PBE with a Hubbard U) for a relaxed structure of ZnW4O9.

Lattice parameters (Å, degrees): 6.918 6.918 3.881 90.00 90.00 90.00
Element x y z (fractional)
Zn  0.000  0.000  0.000
W  0.198  0.630  0.500
W  0.370  0.198  0.500
W  0.630  0.802  0.500
W  0.802  0.370  0.500
O  0.108  0.346  0.500
O  0.202  0.633  0.000
O  0.346  0.892  0.500
O  0.367  0.202  0.000
O  0.500  0.500  0.500
O  0.633  0.798  0.000
O  0.654  0.108  0.500
O  0.798  0.367  0.000
O  0.892  0.654  0.500

Results
- E_tot: -6.9352 eV/atom

---

Density functional theory data (PBE with a Hubbard U) for a relaxed structure of Zn3WO.

Lattice parameters (Å, degrees): 5.235 5.235 5.235 90.00 90.00 90.00
Element x y z (fractional)
Zn  0.000  0.000  0.500
Zn  0.000  0.500  0.000
Zn  0.500  0.000  0.000
W  0.000  0.000  0.000
O  0.500  0.500  0.500

Results
- E_tot: -1.7860 eV/atom
- Energy above the most stable polymorph in this dataset: 1047 meV/atom

---

Density functional theory data (PBE with a Hubbard U) for a relaxed structure of Zn3W2O7.

Lattice parameters (Å, degrees): 9.835 9.835 5.389 90.00 90.00 32.08
Element x y z (fractional)
Zn  0.077  0.516  0.448
Zn  0.243  0.757  0.500
Zn  0.484  0.923  0.448
Zn  0.516  0.077  0.948
Zn  0.757  0.243  0.000
Zn  0.923  0.484  0.948
W  0.144  0.650  0.977
W  0.350  0.856  0.977
W  0.650  0.144  0.477
W  0.856  0.350  0.477
O  0.054  0.211  0.140
O  0.123  0.877  0.877
O  0.160  0.429  0.074
O  0.211  0.054  0.640
O  0.350  0.498  0.314
O  0.429  0.160  0.574
O  0.498  0.350  0.814
O  0.502  0.650  0.314
O  0.571  0.840  0.074
O  0.650  0.502  0.814
O  0.789  0.946  0.140
O  0.840  0.571  0.574
O  0.877  0.123  0.377
O  0.946  0.789  0.640

Results
- E_tot: -6.0502 eV/atom

---

Density functional theory data (PBE with a Hubbard U) for a relaxed structure of Zn3WO.

Lattice parameters (Å, degrees): 4.217 4.217 4.217 90.00 90.00 90.00
Element x y z (fractional)
Zn  0.000  0.000  0.500
Zn  0.000  0.500  0.000
Zn  0.500  0.000  0.000
W  0.500  0.500  0.500
O  0.000  0.000  0.000

Results
- E_tot: -2.8329 eV/atom
- Energy above the most stable polymorph in this dataset: 0 meV/atom

---

Density functional theory data (PBE with a Hubbard U) for a relaxed structure of Zn2WO.

Lattice parameters (Å, degrees): 5.592 5.592 5.592 99.53 99.53 131.99
Element x y z (fractional)
Zn  0.060  0.625  0.935
Zn  0.375  0.310  0.435
Zn  0.690  0.125  0.065
Zn  0.875  0.940  0.565
W  0.250  0.750  0.500
W  0.500  0.500  0.000
O  0.000  0.000  0.000
O  0.750  0.250  0.500

Results
- E_tot: -3.6776 eV/atom

---

Density functional theory data (PBE with a Hubbard U) for a relaxed structure of Zn2W9O13.

Lattice parameters (Å, degrees): 3.319 5.491 18.758 97.52 90.59 93.40
Element x y z (fractional)
Zn  0.108  0.313  0.261
Zn  0.892  0.687  0.739
W  0.168  0.956  0.058
W  0.258  0.625  0.457
W  0.404  0.185  0.810
W  0.409  0.898  0.608
W  0.500  0.500  0.000
W  0.591  0.102  0.392
W  0.596  0.815  0.190
W  0.742  0.375  0.543
W  0.832  0.044  0.942
O  0.016  0.695  0.962
O  0.057  0.610  0.215
O  0.064  0.850  0.387
O  0.119  0.341  0.375
O  0.124  0.041  0.165
O  0.404  0.898  0.723
O  0.500  0.000  0.500
O  0.596  0.102  0.277
O  0.876  0.959  0.835
O  0.881  0.659  0.625
O  0.936  0.150  0.613
O  0.943  0.390  0.785
O  0.984  0.305  0.038

Results
- E_tot: -6.5414 eV/atom

---

Density functional theory data (PBE with a Hubbard U) for a relaxed structure of ZnW2O6.

Lattice parameters (Å, degrees): 7.728 5.327 5.355 90.00 90.00 90.00
Element x y z (fractional)
Zn  0.000  0.214  0.000
Zn  0.500  0.786  0.500
W  0.248  0.250  0.495
W  0.252  0.750  0.995
W  0.748  0.750  0.995
W  0.752  0.250  0.495
O  0.000  0.295  0.370
O  0.000  0.821  0.074
O  0.189  0.432  0.829
O  0.204  0.951  0.685
O  0.296  0.049  0.185
O  0.311  0.568  0.329
O  0.500  0.179  0.574
O  0.500  0.705  0.870
O  0.689  0.568  0.329
O  0.704  0.049  0.185
O  0.796  0.951  0.685
O  0.811  0.432  0.829

Results
- E_tot: -6.8468 eV/atom

---

Density functional theory data (PBE with a Hubbard U) for a relaxed structure of Zn6WO6.

Lattice parameters (Å, degrees): 5.741 5.741 5.741 90.00 90.00 90.00
Element x y z (fractional)
Zn  0.000  0.249  0.500
Zn  0.000  0.751  0.500
Zn  0.249  0.500  0.000
Zn  0.500  0.000  0.249
Zn  0.500  0.000  0.751
Zn  0.751  0.500  0.000
W  0.000  0.000  0.000
O  0.000  0.500  0.253
O  0.000  0.500  0.747
O  0.253  0.000  0.500
O  0.500  0.253  0.000
O  0.500  0.747  0.000
O  0.747  0.000  0.500

Results
- E_tot: -4.3151 eV/atom

---

Number 1: size of the total moment 6.07 μB/f.u.. Number 2: size of the total moment 4.41 μB/f.u.. Number 3: size of the total moment 4.00 μB/f.u.. Number 4: size of the total moment 2.22 μB/f.u.. Number 5: size of the total moment 3.46 μB/f.u.. Number 6: size of the total moment 0.88 μB/f.u.. Number 7: size of the total moment 2.00 μB/f.u.. Number 8: size of the total moment 5.69 μB/f.u..